#P
A geometry-optimized SnSb2PbI structure. Source: the Alexandria database, functional PBE.

Volume = 205.8 Å³ per cell

The structure in CIF format:
```
data_SnSb2PbI
_chemical_formula_sum 'Sn1 Sb2 Pb1 I1'
_cell_length_a 5.847
_cell_length_b 5.847
_cell_length_c 6.019
_cell_angle_alpha 90.00
_cell_angle_beta 90.00
_cell_angle_gamma 90.00
_space_group_name_H-M_alt 'P 4/m m m'
_space_group_IT_number 123
_space_group_name_Hall '-P 4 2'
loop_
_atom_site_label
_atom_site_type_symbol
_atom_site_fract_x
_atom_site_fract_y
_atom_site_fract_z
Sn1 Sn 0.000 0.000 0.000
Sb1 Sb 0.000 0.500 0.500
Pb1 Pb 0.500 0.500 0.500
I1 I 0.500 0.500 0.000
```

***

#Q
A geometry-optimized SnSb2PbI structure. Source: the Alexandria database, functional PBE.

Volume = 192.7 Å³ per cell

The structure in CIF format:
```
data_SnSb2PbI
_chemical_formula_sum 'Sn1 Sb2 Pb1 I1'
_cell_length_a 5.714
_cell_length_b 5.714
_cell_length_c 5.902
_cell_angle_alpha 90.00
_cell_angle_beta 90.00
_cell_angle_gamma 90.00
_space_group_name_H-M_alt 'P 4/m m m'
_space_group_IT_number 123
_space_group_name_Hall '-P 4 2'
loop_
_atom_site_label
_atom_site_type_symbol
_atom_site_fract_x
_atom_site_fract_y
_atom_site_fract_z
Sn1 Sn 0.000 0.000 0.000
Sb1 Sb 0.000 0.500 0.000
Pb1 Pb 0.500 0.500 0.500
I1 I 0.000 0.000 0.500
```

***

Which structure loses on stability? #P does.

***

#P
A geometry-optimized SrSbPbI2 structure. Source: the Alexandria database, functional PBE.

Volume = 225.4 Å³ per cell

The structure in CIF format:
```
data_SrSbPbI2
_chemical_formula_sum 'Sr1 Sb1 Pb1 I2'
_cell_length_a 6.101
_cell_length_b 6.101
_cell_length_c 6.056
_cell_angle_alpha 90.00
_cell_angle_beta 90.00
_cell_angle_gamma 90.00
_space_group_name_H-M_alt 'P 4/m m m'
_space_group_IT_number 123
_space_group_name_Hall '-P 4 2'
loop_
_atom_site_label
_atom_site_type_symbol
_atom_site_fract_x
_atom_site_fract_y
_atom_site_fract_z
Sr1 Sr 0.000 0.000 0.000
Sb1 Sb 0.500 0.500 0.000
Pb1 Pb 0.500 0.500 0.500
I1 I 0.000 0.500 0.500
```

***

#Q
A geometry-optimized SrSbPbI2 structure. Source: the Alexandria database, functional PBE.

Volume = 245.6 Å³ per cell

The structure in CIF format:
```
data_SrSbPbI2
_chemical_formula_sum 'Sr1 Sb1 Pb1 I2'
_cell_length_a 6.090
_cell_length_b 6.090
_cell_length_c 6.622
_cell_angle_alpha 90.00
_cell_angle_beta 90.00
_cell_angle_gamma 90.00
_space_group_name_H-M_alt 'P 4/m m m'
_space_group_IT_number 123
_space_group_name_Hall '-P 4 2'
loop_
_atom_site_label
_atom_site_type_symbol
_atom_site_fract_x
_atom_site_fract_y
_atom_site_fract_z
Sr1 Sr 0.000 0.000 0.000
Sb1 Sb 0.000 0.000 0.500
Pb1 Pb 0.500 0.500 0.500
I1 I 0.000 0.500 0.000
```

***

Which structure loses on stability? #Q does.

***

#P
A geometry-optimized SrSb2PbI structure. Source: the Alexandria database, functional PBE.

Volume = 210.2 Å³ per cell

The structure in CIF format:
```
data_SrSb2PbI
_chemical_formula_sum 'Sr1 Sb2 Pb1 I1'
_cell_length_a 5.794
_cell_length_b 5.794
_cell_length_c 6.260
_cell_angle_alpha 90.00
_cell_angle_beta 90.00
_cell_angle_gamma 90.00
_space_group_name_H-M_alt 'P 4/m m m'
_space_group_IT_number 123
_space_group_name_Hall '-P 4 2'
loop_
_atom_site_label
_atom_site_type_symbol
_atom_site_fract_x
_atom_site_fract_y
_atom_site_fract_z
Sr1 Sr 0.000 0.000 0.000
Sb1 Sb 0.000 0.500 0.500
Pb1 Pb 0.500 0.500 0.500
I1 I 0.500 0.500 0.000
```

***

#Q
A geometry-optimized SrSb2PbI structure. Source: the Alexandria database, functional PBE.

Volume = 227.3 Å³ per cell

The structure in CIF format:
```
data_SrSb2PbI
_chemical_formula_sum 'Sr1 Sb2 Pb1 I1'
_cell_length_a 6.121
_cell_length_b 6.121
_cell_length_c 6.067
_cell_angle_alpha 90.00
_cell_angle_beta 90.00
_cell_angle_gamma 90.00
_space_group_name_H-M_alt 'P 4/m m m'
_space_group_IT_number 123
_space_group_name_Hall '-P 4 2'
loop_
_atom_site_label
_atom_site_type_symbol
_atom_site_fract_x
_atom_site_fract_y
_atom_site_fract_z
Sr1 Sr 0.000 0.000 0.000
Sb1 Sb 0.000 0.500 0.000
Pb1 Pb 0.500 0.500 0.500
I1 I 0.000 0.000 0.500
```

***

Which structure loses on stability? #Q does.

***

#P
A geometry-optimized Sb2TePbI structure. Source: the Alexandria database, functional PBE.

Volume = 198.4 Å³ per cell

The structure in CIF format:
```
data_Sb2TePbI
_chemical_formula_sum 'Sb2 Te1 Pb1 I1'
_cell_length_a 5.821
_cell_length_b 5.821
_cell_length_c 5.855
_cell_angle_alpha 90.00
_cell_angle_beta 90.00
_cell_angle_gamma 90.00
_space_group_name_H-M_alt 'P 4/m m m'
_space_group_IT_number 123
_space_group_name_Hall '-P 4 2'
loop_
_atom_site_label
_atom_site_type_symbol
_atom_site_fract_x
_atom_site_fract_y
_atom_site_fract_z
Sb1 Sb 0.000 0.500 0.000
Te1 Te 0.000 0.000 0.000
Pb1 Pb 0.500 0.500 0.500
I1 I 0.000 0.000 0.500
```

***

#Q
A geometry-optimized Sb2TePbI structure. Source: the Alexandria database, functional PBE.

Volume = 205.9 Å³ per cell

The structure in CIF format:
```
data_Sb2TePbI
_chemical_formula_sum 'Sb2 Te1 Pb1 I1'
_cell_length_a 5.940
_cell_length_b 5.940
_cell_length_c 5.834
_cell_angle_alpha 90.00
_cell_angle_beta 90.00
_cell_angle_gamma 90.00
_space_group_name_H-M_alt 'P 4/m m m'
_space_group_IT_number 123
_space_group_name_Hall '-P 4 2'
loop_
_atom_site_label
_atom_site_type_symbol
_atom_site_fract_x
_atom_site_fract_y
_atom_site_fract_z
Sb1 Sb 0.000 0.500 0.000
Te1 Te 0.000 0.000 0.500
Pb1 Pb 0.500 0.500 0.000
I1 I 0.500 0.500 0.500
```

***

Which structure loses on stability? #Q does.

***

#P
A geometry-optimized Sb2TePbI structure. Source: the Alexandria database, functional PBE.

Volume = 203.2 Å³ per cell

The structure in CIF format:
```
data_Sb2TePbI
_chemical_formula_sum 'Sb2 Te1 Pb1 I1'
_cell_length_a 5.941
_cell_length_b 5.941
_cell_length_c 5.757
_cell_angle_alpha 90.00
_cell_angle_beta 90.00
_cell_angle_gamma 90.00
_space_group_name_H-M_alt 'P 4/m m m'
_space_group_IT_number 123
_space_group_name_Hall '-P 4 2'
loop_
_atom_site_label
_atom_site_type_symbol
_atom_site_fract_x
_atom_site_fract_y
_atom_site_fract_z
Sb1 Sb 0.000 0.500 0.000
Te1 Te 0.000 0.000 0.500
Pb1 Pb 0.000 0.000 0.000
I1 I 0.500 0.500 0.500
```

***

#Q
A geometry-optimized Sb2TePbI structure. Source: the Alexandria database, functional PBE.

Volume = 204.9 Å³ per cell

The structure in CIF format:
```
data_Sb2TePbI
_chemical_formula_sum 'Sb2 Te1 Pb1 I1'
_cell_length_a 5.896
_cell_length_b 5.896
_cell_length_c 5.893
_cell_angle_alpha 90.00
_cell_angle_beta 90.00
_cell_angle_gamma 90.00
_space_group_name_H-M_alt 'P 4/m m m'
_space_group_IT_number 123
_space_group_name_Hall '-P 4 2'
loop_
_atom_site_label
_atom_site_type_symbol
_atom_site_fract_x
_atom_site_fract_y
_atom_site_fract_z
Sb1 Sb 0.000 0.500 0.000
Te1 Te 0.000 0.000 0.500
Pb1 Pb 0.500 0.500 0.500
I1 I 0.000 0.000 0.000
```

***

Which structure loses on stability? #Q does.

***

#P
A geometry-optimized TlSbPbI2 structure. Source: the Alexandria database, functional PBE.

Volume = 244.7 Å³ per cell

The structure in CIF format:
```
data_TlSbPbI2
_chemical_formula_sum 'Tl1 Sb1 Pb1 I2'
_cell_length_a 6.332
_cell_length_b 6.332
_cell_length_c 6.104
_cell_angle_alpha 90.00
_cell_angle_beta 90.00
_cell_angle_gamma 90.00
_space_group_name_H-M_alt 'P 4/m m m'
_space_group_IT_number 123
_space_group_name_Hall '-P 4 2'
loop_
_atom_site_label
_atom_site_type_symbol
_atom_site_fract_x
_atom_site_fract_y
_atom_site_fract_z
Tl1 Tl 0.000 0.000 0.000
Sb1 Sb 0.500 0.500 0.000
Pb1 Pb 0.500 0.500 0.500
I1 I 0.000 0.500 0.500
```

***

#Q
A geometry-optimized TlSbPbI2 structure. Source: the Alexandria database, functional PBE.

Volume = 214.4 Å³ per cell

The structure in CIF format:
```
data_TlSbPbI2
_chemical_formula_sum 'Tl1 Sb1 Pb1 I2'
_cell_length_a 6.062
_cell_length_b 6.062
_cell_length_c 5.834
_cell_angle_alpha 90.00
_cell_angle_beta 90.00
_cell_angle_gamma 90.00
_space_group_name_H-M_alt 'P 4/m m m'
_space_group_IT_number 123
_space_group_name_Hall '-P 4 2'
loop_
_atom_site_label
_atom_site_type_symbol
_atom_site_fract_x
_atom_site_fract_y
_atom_site_fract_z
Tl1 Tl 0.000 0.000 0.000
Sb1 Sb 0.000 0.000 0.500
Pb1 Pb 0.500 0.500 0.500
I1 I 0.000 0.500 0.000
```

***

Which structure loses on stability? #Q does.

***

#P
A geometry-optimized ZnSbPbI2 structure. Source: the Alexandria database, functional PBE.

Volume = 241.4 Å³ per cell

The structure in CIF format:
```
data_ZnSbPbI2
_chemical_formula_sum 'Zn1 Sb1 Pb1 I2'
_cell_length_a 6.263
_cell_length_b 6.263
_cell_length_c 6.155
_cell_angle_alpha 90.00
_cell_angle_beta 90.00
_cell_angle_gamma 90.00
_space_group_name_H-M_alt 'P 4/m m m'
_space_group_IT_number 123
_space_group_name_Hall '-P 4 2'
loop_
_atom_site_label
_atom_site_type_symbol
_atom_site_fract_x
_atom_site_fract_y
_atom_site_fract_z
Zn1 Zn 0.000 0.000 0.000
Sb1 Sb 0.500 0.500 0.000
Pb1 Pb 0.500 0.500 0.500
I1 I 0.000 0.500 0.500
```

***

#Q
A geometry-optimized ZnSbPbI2 structure. Source: the Alexandria database, functional PBE.

Volume = 167.0 Å³ per cell

The structure in CIF format:
```
data_ZnSbPbI2
_chemical_formula_sum 'Zn1 Sb1 Pb1 I2'
_cell_length_a 5.524
_cell_length_b 5.524
_cell_length_c 5.474
_cell_angle_alpha 90.00
_cell_angle_beta 90.00
_cell_angle_gamma 90.00
_space_group_name_H-M_alt 'P 4/m m m'
_space_group_IT_number 123
_space_group_name_Hall '-P 4 2'
loop_
_atom_site_label
_atom_site_type_symbol
_atom_site_fract_x
_atom_site_fract_y
_atom_site_fract_z
Zn1 Zn 0.000 0.000 0.000
Sb1 Sb 0.000 0.000 0.500
Pb1 Pb 0.500 0.500 0.500
I1 I 0.000 0.500 0.000
```

***

Which structure loses on stability? #P does.